Pr5In2Ag2: relaxed, PBE.

Final energy: -4.09 eV per atom
ΔH_f (0 K): -0.1894 eV/atom
Total magnetization: 0.0 μB per cell
Fermi-level density of states: 18.60 states/eV/cell

Unit cell a=10.1319 b=10.1319 c=10.1319 alpha=72.68 beta=121.14 gamma=141.32
Last column: nearest neighbours and their distance in Å.
Sites, in units of the cell vectors:
Pr  0.0279  0.3177  0.9985  2 Ag 2.99-3.22, 1 In 3.19
Pr  0.0279  0.5294  0.2102  2 Ag 2.99-3.22, 1 In 3.19
Pr  0.2017  0.0564  0.2581  3 Ag 3.19-3.42, 1 In 3.25, 3 Pr 3.49-3.52
Pr  0.2017  0.4436  0.6453  3 Ag 3.19-3.42, 1 In 3.25, 3 Pr 3.49-3.52
Pr  0.3192  0.0294  0.0015  2 Ag 2.99-3.22, 1 In 3.19
Pr  0.3192  0.8177  0.7898  2 Ag 2.99-3.22, 1 In 3.19
Pr  0.3626  0.2139  0.6487  3 Ag 3.18-3.55, 2 In 3.30
Pr  0.5652  0.7139  0.3513  3 Ag 3.18-3.55, 2 In 3.30
Pr  0.7983  0.5564  0.3547  3 Ag 3.19-3.42, 1 In 3.25, 3 Pr 3.49-3.52
Pr  0.7983  0.9436  0.7419  3 Ag 3.19-3.42, 1 In 3.25, 3 Pr 3.49-3.52
In  0.6507  0.0994  0.3607  1 Ag 2.86, 1 Pr 3.19
In  0.6507  0.7899  0.0513  1 Ag 2.86, 1 Pr 3.19
In  0.7386  0.2899  0.6393  1 Ag 2.86, 1 Pr 3.19
In  0.7386  0.5994  0.9487  1 Ag 2.86, 1 Pr 3.19
Ag  0.0127  0.1865  0.3262  7 Pr 3.18-3.55, 2 In 3.23
Ag  0.3435  0.3435  0.0000  2 In 2.86, 4 Pr 2.99-3.19
Ag  0.3435  0.8435  0.5000  2 In 2.86, 4 Pr 2.99-3.19
Ag  0.8603  0.6865  0.6738  7 Pr 3.18-3.55, 2 In 3.23

TbPmCu: relaxed, PBE.

Final energy: -4.62 eV per atom
Distance to the lowest polymorph of the same formula: 0 meV/atom
ΔH_f (0 K): -0.1275 eV/atom
Total magnetization: 0.0 μB per cell
Fermi-level density of states: 12.11 states/eV/cell

Unit cell a=6.9340 b=4.9885 c=8.9055 alpha=90.00 beta=90.00 gamma=90.00
Last column: nearest neighbours and their distance in Å.
Sites, in units of the cell vectors:
Tb  0.0091  0.2500  0.1731  3 Cu 2.85-3.08
Tb  0.4909  0.7500  0.6731  3 Cu 2.85-3.08
Tb  0.5091  0.2500  0.3269  3 Cu 2.85-3.08
Tb  0.9909  0.7500  0.8269  3 Cu 2.85-3.08
Pm  0.1445  0.2500  0.5888  4 Cu 2.86-3.11
Pm  0.3555  0.7500  0.0888  4 Cu 2.86-3.11
Pm  0.6445  0.2500  0.9112  4 Cu 2.86-3.11
Pm  0.8555  0.7500  0.4112  4 Cu 2.86-3.11
Cu  0.2320  0.2500  0.9035  3 Tb 2.85-3.08, 4 Pm 2.86-3.11
Cu  0.2680  0.7500  0.4035  3 Tb 2.85-3.08, 4 Pm 2.86-3.11
Cu  0.7320  0.2500  0.5965  3 Tb 2.85-3.08, 4 Pm 2.86-3.11
Cu  0.7680  0.7500  0.0965  3 Tb 2.85-3.08, 4 Pm 2.86-3.11

LaGePtRh: relaxed, PBE.

Final energy: -6.48 eV per atom
ΔH_f (0 K): -0.7434 eV/atom
Total magnetization: 0.0 μB per cell
Fermi-level density of states: 4.46 states/eV/cell

Unit cell a=4.0641 b=4.2303 c=10.3464 alpha=90.00 beta=90.00 gamma=90.00
Last column: nearest neighbours and their distance in Å.
Sites, in units of the cell vectors:
La  0.0000  0.0000  0.0000  4 Rh 3.20, 4 Pt 3.24, 4 Ge 3.31-3.32
La  0.5000  0.5000  0.5000  4 Rh 3.20, 4 Pt 3.24, 4 Ge 3.31-3.32
Ge  0.0000  0.5000  0.2469  2 Rh 2.41, 2 Pt 2.45
Ge  0.5000  0.0000  0.7469  2 Rh 2.41, 2 Pt 2.45
Pt  0.0000  0.0000  0.3667  2 Ge 2.45, 1 Rh 2.65
Pt  0.5000  0.5000  0.8667  2 Ge 2.45, 1 Rh 2.65
Rh  0.0000  0.0000  0.6225  2 Ge 2.41, 1 Pt 2.65
Rh  0.5000  0.5000  0.1225  2 Ge 2.41, 1 Pt 2.65

Pm2PrNdTh: relaxed, PBE.

Final energy: -5.24 eV per atom
ΔH_f (0 K): 0.0577 eV/atom
Total magnetization: 0.0 μB per cell
Fermi-level density of states: 17.41 states/eV/cell

Unit cell a=6.3762 b=5.9453 c=9.7478 alpha=90.00 beta=109.00 gamma=90.00
Last column: nearest neighbours and their distance in Å.
Sites, in units of the cell vectors:
Pm  0.0515  0.2500  0.4039  4 Th 3.51-3.78, 4 Pm 3.54-3.75, 3 Pr 3.65-3.70, 1 Nd 3.83
Pm  0.4375  0.2500  0.2118  3 Th 3.54-3.60, 2 Pm 3.54-3.75, 4 Nd 3.65-3.80, 3 Pr 3.68-3.80
Pm  0.5625  0.7500  0.7882  3 Th 3.54-3.60, 2 Pm 3.54-3.75, 4 Nd 3.65-3.80, 3 Pr 3.68-3.80
Pm  0.9485  0.7500  0.5961  4 Th 3.51-3.78, 4 Pm 3.54-3.75, 3 Pr 3.65-3.70, 1 Nd 3.83
Pr  0.2296  0.2500  0.8001  4 Nd 3.61-3.70, 6 Pm 3.65-3.80, 2 Th 3.67-3.73
Pr  0.7704  0.7500  0.1999  4 Nd 3.61-3.70, 6 Pm 3.65-3.80, 2 Th 3.67-3.73
Nd  0.1737  0.7500  0.0116  4 Pr 3.61-3.70, 1 Th 3.62, 5 Pm 3.65-3.83, 2 Nd 3.67
Nd  0.8263  0.2500  0.9884  4 Pr 3.61-3.70, 1 Th 3.62, 5 Pm 3.65-3.83, 2 Nd 3.67
Th  0.3774  0.7500  0.4044  7 Pm 3.51-3.78, 2 Th 3.59, 1 Nd 3.62, 2 Pr 3.67-3.73
Th  0.6226  0.2500  0.5956  7 Pm 3.51-3.78, 2 Th 3.59, 1 Nd 3.62, 2 Pr 3.67-3.73